# 1
The following is a GGA-PBE calculation of a relaxed CaBi2TePt crystal, from Alexandria.

Computed properties:
* magnetic moment: 0.0 Bohr magnetons per cell
* formation energy without anion corrections: 24 kJ/mol of atoms

Lattice parameters (Å, degrees): 5.974 5.974 4.953 90.00 90.00 90.00
Fractional coordinates of all 5 atoms:
Ca 0.000 0.000 0.000
Bi 0.000 0.500 0.500
Bi 0.500 0.000 0.500
Te 0.500 0.500 0.500
Pt 0.500 0.500 0.000



# 2
The following is a GGA-PBE calculation of a relaxed CaTl2BiPt crystal, from Alexandria.

Computed properties:
* calculated formation energy: 0.611 eV per atom
* magnetic moment: 0.0 Bohr magnetons per cell
* energy above the most stable polymorph in this dataset: 894.5 meV per atom

Lattice parameters (Å, degrees): 5.805 5.805 6.002 90.00 90.00 90.00
Fractional coordinates of all 5 atoms:
Ca 0.000 0.000 0.000
Tl 0.000 0.500 0.500
Tl 0.500 0.000 0.500
Bi 0.000 0.000 0.500
Pt 0.500 0.500 0.000



# 3
The following is a GGA-PBE calculation of a relaxed CaTl2BiPt crystal, from Alexandria.

Computed properties:
* calculated formation energy: -0.283 eV per atom
* magnetic moment: 0.0 Bohr magnetons per cell
* energy above the most stable polymorph in this dataset: 0.0 meV per atom

Lattice parameters (Å, degrees): 5.270 5.270 5.614 90.00 90.00 90.00
Fractional coordinates of all 5 atoms:
Ca 0.000 0.000 0.000
Tl 0.000 0.500 0.500
Tl 0.500 0.000 0.500
Bi 0.500 0.500 0.000
Pt 0.000 0.000 0.500



# 4
The following is a GGA-PBE calculation of a relaxed Ca5PuBi5 crystal, from Alexandria.

Computed properties:
* calculated formation energy: -0.599 eV per atom
* magnetic moment: 4.1 Bohr magnetons per cell

Lattice parameters (Å, degrees): 8.141 8.141 9.168 106.75 106.75 46.13
Fractional coordinates of all 11 atoms:
Ca 0.000 0.000 0.000
Ca 0.314 0.314 0.175
Ca 0.318 0.318 0.641
Ca 0.682 0.682 0.359
Ca 0.686 0.686 0.825
Pu 0.000 0.000 0.500
Bi 0.150 0.150 0.325
Bi 0.160 0.160 0.829
Bi 0.500 0.500 0.500
Bi 0.840 0.840 0.171
Bi 0.850 0.850 0.675



# 5
The following is a GGA-PBE calculation of a relaxed CaPuBi2 crystal, from Alexandria.

Computed properties:
* calculated formation energy: -0.450 eV per atom
* magnetic moment: 5.6 Bohr magnetons per cell
* energy above the most stable polymorph in this dataset: 59.4 meV per atom

Lattice parameters (Å, degrees): 5.583 5.583 5.583 60.00 60.00 60.00
Fractional coordinates of all 4 atoms:
Ca 0.000 0.000 0.000
Pu 0.500 0.500 0.500
Bi 0.250 0.250 0.250
Bi 0.750 0.750 0.750



# 6
The following is a GGA-PBE calculation of a relaxed CaPuBi2 crystal, from Alexandria.

Computed properties:
* calculated formation energy: -0.458 eV per atom
* magnetic moment: 4.9 Bohr magnetons per cell
* energy above the most stable polymorph in this dataset: 51.1 meV per atom

Lattice parameters (Å, degrees): 7.791 7.791 7.791 34.94 34.94 34.94
Fractional coordinates of all 4 atoms:
Ca 0.000 0.000 0.000
Pu 0.172 0.172 0.172
Bi 0.583 0.583 0.583
Bi 0.759 0.759 0.759



# 7
The following is a GGA-PBE calculation of a relaxed CaPuBi crystal, from Alexandria.

Computed properties:
* calculated formation energy: -0.241 eV per atom
* magnetic moment: 4.0 Bohr magnetons per cell

Lattice parameters (Å, degrees): 4.903 3.790 9.026 90.00 95.47 90.00
Fractional coordinates of all 6 atoms:
Ca 0.228 0.250 0.361
Ca 0.772 0.750 0.639
Pu 0.146 0.750 0.017
Pu 0.854 0.250 0.983
Bi 0.295 0.250 0.739
Bi 0.705 0.750 0.261



# 8
The following is a GGA-PBE calculation of a relaxed CaPu3Bi4 crystal, from Alexandria.

Computed properties:
* calculated formation energy: -0.414 eV per atom
* magnetic moment: 10.3 Bohr magnetons per cell

Lattice parameters (Å, degrees): 7.893 9.157 7.908 90.00 109.78 90.00
Fractional coordinates of all 16 atoms:
Ca 0.000 0.127 0.250
Ca 0.000 0.873 0.750
Pu 0.000 0.374 0.750
Pu 0.000 0.626 0.250
Pu 0.500 0.124 0.750
Pu 0.500 0.374 0.250
Pu 0.500 0.626 0.750
Pu 0.500 0.876 0.250
Bi 0.252 0.379 0.504
Bi 0.252 0.621 0.004
Bi 0.258 0.127 0.998
Bi 0.258 0.873 0.498
Bi 0.742 0.127 0.502
Bi 0.742 0.873 0.002
Bi 0.748 0.379 0.996
Bi 0.748 0.621 0.496



# 9
The following is a GGA-PBE calculation of a relaxed Ca3PuBi12 crystal, from Alexandria.

Computed properties:
* calculated formation energy: -0.355 eV per atom
* magnetic moment: 5.6 Bohr magnetons per cell

Lattice parameters (Å, degrees): 4.905 4.905 20.569 90.00 90.00 90.00
Fractional coordinates of all 16 atoms:
Ca 0.000 0.000 0.000
Ca 0.000 0.000 0.254
Ca 0.000 0.000 0.746
Pu 0.000 0.000 0.500
Bi 0.000 0.500 0.126
Bi 0.000 0.500 0.378
Bi 0.000 0.500 0.622
Bi 0.000 0.500 0.874
Bi 0.500 0.000 0.126
Bi 0.500 0.000 0.378
Bi 0.500 0.000 0.622
Bi 0.500 0.000 0.874
Bi 0.500 0.500 0.000
Bi 0.500 0.500 0.250
Bi 0.500 0.500 0.500
Bi 0.500 0.500 0.750



# 10
The following is a GGA-PBE calculation of a relaxed CaPuBi2 crystal, from Alexandria.

Computed properties:
* calculated formation energy: -0.509 eV per atom
* magnetic moment: 5.6 Bohr magnetons per cell
* energy above the most stable polymorph in this dataset: 0.0 meV per atom

Lattice parameters (Å, degrees): 5.913 5.913 3.467 90.00 90.00 90.00
Fractional coordinates of all 4 atoms:
Ca 0.000 0.000 0.000
Pu 0.500 0.500 0.000
Bi 0.000 0.500 0.500
Bi 0.500 0.000 0.500



# 11
The following is a GGA-PBE calculation of a relaxed Ca2PuBi3 crystal, from Alexandria.

Computed properties:
* calculated formation energy: -0.525 eV per atom
* magnetic moment: 4.2 Bohr magnetons per cell

Lattice parameters (Å, degrees): 7.931 7.931 7.931 146.08 132.17 59.93
Fractional coordinates of all 6 atoms:
Ca 0.172 0.172 0.000
Ca 0.828 0.828 0.000
Pu 0.500 0.500 0.000
Bi 0.000 0.500 0.500
Bi 0.344 0.844 0.500
Bi 0.656 0.156 0.500



# 12
The following is a GGA-PBE calculation of a relaxed CaPuBi2 crystal, from Alexandria.

Computed properties:
* calculated formation energy: -0.490 eV per atom
* magnetic moment: 4.6 Bohr magnetons per cell
* energy above the most stable polymorph in this dataset: 19.2 meV per atom

Lattice parameters (Å, degrees): 7.788 7.788 7.788 34.59 34.59 34.59
Fractional coordinates of all 4 atoms:
Ca 0.000 0.000 0.000
Pu 0.500 0.500 0.500
Bi 0.245 0.245 0.245
Bi 0.755 0.755 0.755